# 1
CeHgRhPb after structural relaxation. Source: Alexandria, functional PBE.

Output
Theoretical density   11.71 Mg/m³
Space group   F-43m
Formation energy   -0.2850 eV per atom
Magnetic moment   0.63 μB per formula unit

Cell: 5.072 5.072 5.072 Å, 60.00 60.00 60.00°
Site moments in Bohr magnetons follow the coordinates.
Element x y z (fractional)
Ce 0.250 0.250 0.250  0.57
Hg 0.500 0.500 0.500  0.00
Pb 0.750 0.750 0.750  0.01
Rh 0.000 0.000 0.000  -0.06


# 2
La3ThAl8 after structural relaxation. Source: Alexandria, functional PBE.

Output
Theoretical density   5.37 Mg/m³
Space group   R3m
Formation energy   -0.4744 eV per atom
Energy above the lowest structure with this stoichiometry   0 kJ/mol of formula units
Magnetic moment   0.00 μB per formula unit

Cell: 5.750 5.750 9.910 Å, 73.13 73.13 60.00°
Element x y z (fractional)
Al 0.188 0.188 0.437
Al 0.437 0.936 0.191
Al 0.439 0.938 0.685
Al 0.938 0.938 0.685
Al 0.938 0.439 0.685
Al 0.688 0.688 0.937
Al 0.437 0.437 0.191
Al 0.936 0.437 0.191
La 0.001 0.001 0.997
La 0.374 0.374 0.877
La 0.499 0.499 0.502
Th 0.875 0.875 0.375


# 3
CaHoHf after structural relaxation. Source: Alexandria, functional PBE.

Output
Theoretical density   7.03 Mg/m³
Space group   R-3m
Formation energy   0.2056 eV per atom
Magnetic moment   0.00 μB per formula unit

Cell: 3.445 3.445 17.730 Å, 84.42 84.42 60.00°
Element x y z (fractional)
Ca 0.697 0.697 0.908
Ca 0.303 0.303 0.092
Ho 0.762 0.762 0.713
Ho 0.238 0.238 0.287
Hf 0.856 0.856 0.432
Hf 0.144 0.144 0.568


# 4
Li3InAg after structural relaxation. Source: Alexandria, functional PBE.

Output
Theoretical density   4.56 Mg/m³
Space group   C2/m
Formation energy   -0.2382 eV per atom
Energy above the lowest structure with this stoichiometry   0 kJ/mol of formula units
Magnetic moment   0.00 μB per formula unit

Cell: 3.919 5.163 9.469 Å, 90.11 90.00 112.30°
Element x y z (fractional)
In 0.454 0.909 0.657
In 0.546 0.091 0.343
Li 0.943 0.885 0.136
Li 0.155 0.311 0.552
Li 0.246 0.492 0.233
Li 0.057 0.115 0.864
Li 0.754 0.508 0.767
Li 0.845 0.689 0.448
Ag 0.352 0.704 0.950
Ag 0.648 0.296 0.050


no.,final energy (eV/f.u.)
1,-18.44
2,-57.83
3,-15.92
4,-12.52